The following is a DFT calculation (PBE) of a relaxed Ti3Ga2W crystal.

The value obtained for the calculated density is 8.08 g cm⁻³. For the magnetic moment, the calculation gives 0.0 μB/f.u. For the energy, the calculation gives -7.469 eV/atom. For the energy relative to the elements, the calculation gives -2.12 eV per formula unit.

It has space group P4/mmm (No. 123), with a = 3.2432 Å, b = 3.2432 Å, c = 9.1190 Å, α = 90.00°, β = 90.00° and γ = 90.00°. Symmetry generates all atoms from Ti at (0.0000, 0.0000, 0.0000), Ti at (0.0000, 0.0000, 0.3383), Ga at (0.5000, 0.5000, 0.1750) and W at (0.5000, 0.5000, 0.5000).